The following is a PBE calculation of a relaxed structure of Ac12CoRu5, from Alexandria via LeMat-Bulk.

The raw total energy comes out at -5.869 eV per atom.

The space group is C2/m (No. 12) and the conventional cell measures 7.486, 12.965 and 13.537 Å, with angles of 90.00, 100.54 and 90.00 degrees. Symmetry generates all atoms from Ac at (0.127, 0.165, 0.384), Ac at (0.131, 0.500, 0.384), Ac at (0.205, 0.000, 0.116), Ac at (0.205, 0.333, 0.117), Co at (0.000, 0.000, 0.500), Ru at (0.000, 0.167, 0.000), Ru at (0.000, 0.333, 0.500) and Ru at (0.000, 0.500, 0.000).

The following is a PBE calculation of a relaxed structure of ScPaTl2O8, from Alexandria via LeMat-Bulk.

Its formation energy (no corrections) is -1.72 eV/atom.

The space group is I-4m2 (No. 119) and the conventional cell measures 6.842, 6.842 and 7.591 Å, with angles of 90.00, 90.00 and 90.00 degrees. Symmetry generates all atoms from Sc at (0.000, 0.000, 0.000), Pa at (0.000, 0.500, 0.750), Tl at (0.000, 0.000, 0.500), Tl at (0.000, 0.500, 0.250), O at (0.000, 0.188, 0.723) and O at (0.000, 0.309, 0.026).

The following is a PBE calculation of a relaxed structure of FeMoRh2, from Alexandria via LeMat-Bulk.

The raw total energy comes out at -8.627 eV per atom.

The space group is Pmmm (No. 47) and the conventional cell measures 2.741, 3.763 and 5.451 Å, with angles of 90.00, 90.00 and 90.00 degrees. Symmetry generates all atoms from Fe at (0.000, 0.000, 0.000), Mo at (0.000, 0.000, 0.500) and Rh at (0.500, 0.500, 0.244).

The following is a PBE calculation of a relaxed structure of BeNbMo2Pd, from Alexandria via LeMat-Bulk.

The raw total energy comes out at -7.765 eV per atom.

The space group is P4/mmm (No. 123) and the conventional cell measures 4.310, 4.310 and 4.100 Å, with angles of 90.00, 90.00 and 90.00 degrees. Symmetry generates all atoms from Be at (0.000, 0.000, 0.000), Nb at (0.500, 0.500, 0.500), Mo at (0.000, 0.500, 0.000) and Pd at (0.000, 0.000, 0.500).

The following is a PBE calculation of a relaxed structure of YAgPO4, from Alexandria via LeMat-Bulk.

Its formation energy (no corrections) is -2.09 eV/atom.

The space group is Imma (No. 74) and the conventional cell measures 5.720, 7.294 and 8.897 Å, with angles of 90.00, 90.00 and 90.00 degrees. Symmetry generates all atoms from Y at (0.000, 0.000, 0.000), Ag at (0.250, 0.250, 0.250), P at (0.000, 0.250, 0.643), O at (0.000, 0.074, 0.738) and O at (0.223, 0.250, 0.537).

The following is a PBE calculation of a relaxed structure of Y7Tm2Cd2, from Alexandria via LeMat-Bulk.

The raw total energy comes out at -5.161 eV per atom.

The space group is C2/m (No. 12) and the conventional cell measures 8.557, 9.778 and 8.436 Å, with angles of 90.00, 109.68 and 90.00 degrees. Symmetry generates all atoms from Y at (0.000, 0.000, 0.000), Y at (0.142, 0.000, 0.419), Y at (0.196, 0.322, 0.174), Tm at (0.000, 0.317, 0.500) and Cd at (0.119, 0.500, 0.822).

The following is a PBE calculation of a relaxed structure of FeTeOs2, from Alexandria via LeMat-Bulk.

Its formation energy (no corrections) is 0.77 eV/atom.

The space group is R-3m (No. 166, hexagonal axes) and the conventional cell measures 2.9855, 2.9855 and 24.9300 Å, with angles of 90.00, 90.00 and 120.00 degrees. Symmetry generates all atoms from Fe at (0.0000, 0.0000, 0.0000), Te at (0.0000, 0.0000, 0.5000) and Os at (0.0000, 0.0000, 0.2561).

The following is a PBE calculation of a relaxed structure of Zn2CuCl2, from Alexandria via LeMat-Bulk.

Its formation energy (no corrections) is 0.03 eV/atom.

The space group is I4/mmm (No. 139) and the conventional cell measures 4.392, 4.392 and 10.502 Å, with angles of 90.00, 90.00 and 90.00 degrees. Symmetry generates all atoms from Zn at (0.000, 0.000, 0.114), Cu at (0.000, 0.000, 0.500) and Cl at (0.000, 0.500, 0.250).

What is the formula in the second record? ScPaTl2O8